Material: Li3Cr3FeO8
Method: DFT, PBE with a Hubbard U
State: relaxed

The space group is R-3m (No. 166, hexagonal axes) and the conventional cell measures 5.9053, 5.9053 and 14.5966 Å, with angles of 90.00, 90.00 and 120.00 degrees. The distinct sites, in fractional coordinates, are Li at (0.0000, 0.5000, 0.0000), Cr at (0.0000, 0.5000, 0.5000), Fe at (0.0000, 0.0000, 0.5000), O at (0.0000, 0.0000, 0.2414) and O at (0.0144, 0.5072, 0.2379).

The energy above the most stable polymorph in this dataset is 34.4 kJ/mol of formula units.